No. 1
DFT (PBE) results for PaZnRh after structural relaxation.

Cell lengths 4.5271, 4.5271, 4.5271 Å; angles 60.00, 60.00, 60.00 degrees
Sites, in units of the cell vectors:
Pa 0.0000 0.0000 0.0000
Zn 0.5000 0.5000 0.5000
Rh 0.2500 0.2500 0.2500

Its calculated total energy is -19.0 eV/cell. For the density of states at the Fermi level, the calculation gives 5.112 states/eV/cell. For the calculated formation energy, the calculation gives -0.306 eV per atom.

No. 2
DFT (PBE) results for Sc6CdPd2 after structural relaxation.

Cell lengths 7.9971, 7.9971, 7.9971 Å; angles 112.09, 111.35, 105.06 degrees
Sites, in units of the cell vectors:
Sc 0.0385 0.2397 0.7988
Sc 0.1870 0.2886 0.4756
Sc 0.1870 0.7114 0.8984
Sc 0.3264 0.0368 0.7105
Sc 0.3264 0.6159 0.2895
Sc 0.4409 0.2397 0.2012
Sc 0.5591 0.7603 0.7988
Sc 0.6736 0.3841 0.7105
Sc 0.6736 0.9632 0.2895
Sc 0.8130 0.2886 0.1016
Sc 0.8130 0.7114 0.5244
Sc 0.9615 0.7603 0.2012
Cd 0.0000 0.0000 0.0000
Cd 0.5000 0.5000 0.0000
Pd 0.1388 0.6388 0.5000
Pd 0.3437 0.0000 0.3437
Pd 0.6563 0.0000 0.6563
Pd 0.8612 0.3612 0.5000

Its calculated total energy is -107.0 eV/cell. For the density of states at the Fermi level, the calculation gives 22.640 states/eV/cell. For the calculated formation energy, the calculation gives -0.467 eV per atom.

No. 3
DFT (PBE) results for LaTbY2 after structural relaxation.

Cell lengths 5.1245, 5.1245, 5.0961 Å; angles 90.00, 90.00, 90.00 degrees
Sites, in units of the cell vectors:
La 0.0000 0.0000 0.0000
Tb 0.5000 0.5000 0.0000
Y 0.0000 0.5000 0.5000
Y 0.5000 0.0000 0.5000

As for the energy above the lowest structure with this stoichiometry: 23 meV/atom. Its calculated total energy is -22.4 eV/cell. For the density of states at the Fermi level, the calculation gives 6.960 states/eV/cell. For the calculated formation energy, the calculation gives 0.031 eV per atom.

No. 4
DFT (PBE) results for Tl6HgBi after structural relaxation.

Cell lengths 5.0452, 5.0452, 9.7788 Å; angles 90.00, 90.00, 90.00 degrees
Sites, in units of the cell vectors:
Tl 0.0000 0.0000 0.0000
Tl 0.0000 0.0000 0.5000
Tl 0.0000 0.5000 0.2465
Tl 0.0000 0.5000 0.7535
Tl 0.5000 0.0000 0.2465
Tl 0.5000 0.0000 0.7535
Hg 0.5000 0.5000 0.5000
Bi 0.5000 0.5000 0.0000

Its calculated total energy is -18.5 eV/cell. For the density of states at the Fermi level, the calculation gives 3.850 states/eV/cell. For the calculated formation energy, the calculation gives -0.012 eV per atom.